Arrangement one

Pm3NdBi3: optimized geometry, GGA-PBE.

Results
Mass density = 8.1 g/cm³

a = 9.4208 Å, b = 9.4208 Å, c = 19.2306 Å
α = 90.00°, β = 90.00°, γ = 120.00°
Space group R-3 (No. 148, hexagonal axes)
Symmetry-distinct sites (fractional):
Pm: 0.0031 0.7381 0.0847
Nd: 0.0000 0.0000 0.3334
Bi: 0.0032 0.6170 0.9180

---

Arrangement two

Pm3NdBi3: optimized geometry, GGA-PBE.

Results
Mass density = 8.9 g/cm³

a = 9.6470 Å, b = 9.6470 Å, c = 9.6470 Å
α = 90.00°, β = 90.00°, γ = 90.00°
Space group P2_13 (No. 198)
Symmetry-distinct sites (fractional):
Pm: 0.0722 0.4278 0.5722
Pm: 0.1787 0.1787 0.1787
Pm: 0.1791 0.8209 0.3209
Nd: 0.0712 0.5712 0.9288
Bi: 0.9996 0.2488 0.8759

---

It is arrangement two that is the most stable of them.

---

Arrangement one

Pr3NdBi2: optimized geometry, GGA-PBE.

Results
Mass density = 8.1 g/cm³

a = 4.6956 Å, b = 4.6956 Å, c = 9.1028 Å
α = 90.00°, β = 90.00°, γ = 90.00°
Space group P-4m2 (No. 115)
Symmetry-distinct sites (fractional):
Pr: 0.0000 0.0000 0.0000
Pr: 0.0000 0.5000 0.6456
Nd: 0.5000 0.5000 0.0000
Bi: 0.0000 0.5000 0.2799

---

Arrangement two

Pr3NdBi2: optimized geometry, GGA-PBE.

Results
Mass density = 7.3 g/cm³

a = 7.3585 Å, b = 15.1976 Å, c = 8.0459 Å
α = 90.00°, β = 90.00°, γ = 90.00°
Space group Ibam (No. 72)
Symmetry-distinct sites (fractional):
Pr: 0.0000 0.0000 0.2500
Pr: 0.0000 0.2978 0.2500
Nd: 0.0000 0.5000 0.0000
Bi: 0.1659 0.1482 0.0000

---

It is arrangement one that is the most stable of them.